(1)
# GGA-PBE NdDyMg2, optimized geometry
data_NdDyMg2
_symmetry_space_group_name_H-M 'P m m 2'
_symmetry_Int_Tables_number 25
_symmetry_space_group_name_Hall 'P 2 -2'
_cell_length_a 3.807
_cell_length_b 5.436
_cell_length_c 5.437
_cell_angle_alpha 90.00
_cell_angle_beta 90.00
_cell_angle_gamma 90.00
loop_
_atom_site_label
_atom_site_type_symbol
_atom_site_fract_x
_atom_site_fract_y
_atom_site_fract_z
Nd1 Nd 0.000 0.000 0.000
Dy1 Dy 0.000 0.500 0.496
Mg1 Mg 0.500 0.000 0.501
Mg2 Mg 0.500 0.500 0.995
# - calculated volume (Å³/atom) = 28.13
# - calculated total energy (eV/f.u.) = -12.8

(2)
# GGA-PBE GaHgBi2, optimized geometry
data_GaHgBi2
_symmetry_space_group_name_H-M 'F -4 3 m'
_symmetry_Int_Tables_number 216
_symmetry_space_group_name_Hall 'F -4 2 3'
_cell_length_a 7.679
_cell_length_b 7.679
_cell_length_c 7.679
_cell_angle_alpha 90.00
_cell_angle_beta 90.00
_cell_angle_gamma 90.00
loop_
_atom_site_label
_atom_site_type_symbol
_atom_site_fract_x
_atom_site_fract_y
_atom_site_fract_z
Ga1 Ga 0.000 0.000 0.000
Hg1 Hg 0.250 0.250 0.250
Bi1 Bi 0.000 0.000 0.500
Bi2 Bi 0.250 0.250 0.750
# - calculated volume (Å³/atom) = 28.30
# - calculated total energy (eV/f.u.) = -11.0